[1]
# BaTeMo2

A relaxed structure of BaTeMo2 (GGA-PBE, Alexandria via LeMat-Bulk).

Structure (POSCAR):
```
BaTeMo2
1.0
6.396 0.000 0.000
0.000 9.935 0.000
-1.479 0.000 2.837
Ba Te Mo
2 2 4
Direct
0.000 0.000 0.000 Ba
0.500 0.500 0.000 Ba
0.000 0.500 0.000 Te
0.500 0.000 0.000 Te
0.250 0.250 0.000 Mo
0.250 0.750 0.000 Mo
0.750 0.250 0.000 Mo
0.750 0.750 0.000 Mo
```

## Properties
formation energy from raw total energies	1105.6	meV/atom



[2]
# BaTeMo2

A relaxed structure of BaTeMo2 (GGA-PBE, Alexandria via LeMat-Bulk).

Structure (POSCAR):
```
BaTeMo2
1.0
3.430 0.000 0.000
0.000 3.430 0.000
0.000 0.000 8.298
Ba Te Mo
1 1 2
Direct
0.000 0.000 0.000 Ba
0.500 0.500 0.660 Te
0.000 0.000 0.454 Mo
0.500 0.500 0.311 Mo
```

## Properties
formation energy from raw total energies	279.3	meV/atom



[3]
# BaTe2Mo

A relaxed structure of BaTe2Mo (GGA-PBE, Alexandria via LeMat-Bulk).

Structure (POSCAR):
```
BaTe2Mo
1.0
7.940 0.000 0.000
0.000 7.940 0.000
0.000 0.000 7.940
Ba Te Mo
4 8 4
Direct
0.000 0.000 0.000 Ba
0.000 0.500 0.500 Ba
0.500 0.000 0.500 Ba
0.500 0.500 0.000 Ba
0.000 0.000 0.500 Te
0.000 0.500 0.000 Te
0.250 0.250 0.750 Te
0.250 0.750 0.250 Te
0.500 0.000 0.000 Te
0.500 0.500 0.500 Te
0.750 0.250 0.250 Te
0.750 0.750 0.750 Te
0.250 0.250 0.250 Mo
0.250 0.750 0.750 Mo
0.750 0.250 0.750 Mo
0.750 0.750 0.250 Mo
```

## Properties
energy relative to the lowest polymorph listed for this composition	343	kJ/mol of formula units
formation energy from raw total energies	404.7	meV/atom



The highest formation energy from raw total energies belongs to which entry?
number 1